Here is VMoP2S after structural relaxation from the Alexandria database. Energies are from PBE.

a = 4.542 Å, b = 4.542 Å, c = 4.477 Å
α = 90.00°, β = 90.00°, γ = 90.00°
Positions (direct):
V: 0.000 0.000 0.000
Mo: 0.500 0.500 0.500
P: 0.000 0.500 0.000
P: 0.500 0.000 0.000
S: 0.000 0.000 0.500

Mass density, kg/m³: 4330
Symmetry: P4/mmm (123)
Polymorph energy (0 for the lowest one), eV per atom: 0.000
Final energy, eV/atom: -6.3395


Here is VMoP2S after structural relaxation from the Alexandria database. Energies are from PBE.

a = 4.676 Å, b = 4.676 Å, c = 4.614 Å
α = 90.00°, β = 90.00°, γ = 90.00°
Positions (direct):
V: 0.000 0.000 0.000
Mo: 0.500 0.500 0.500
P: 0.000 0.500 0.500
P: 0.500 0.000 0.500
S: 0.500 0.500 0.000

Mass density, kg/m³: 3965
Symmetry: P4/mmm (123)
Polymorph energy (0 for the lowest one), eV per atom: 0.218
Final energy, eV/atom: -6.1218


> What is the formula in the second record?

VMoP2S


> Look up the polymorph energy (0 for the lowest one) of the first one.

0.000 eV per atom